Entry 1:
First-principles (GGA-PBE) data for MnTeAs after structural relaxation, as listed in Alexandria via LeMat-Bulk.

a b c (Å): 13.527 3.227 3.210
angles (deg): 90.00 102.68 90.00
Space group Cm (No. 8)
One atom of each set of equivalent atoms:
Mn1 0.000 0.000 0.000 x2
Te1 0.163 0.500 0.150 x2
As1 0.416 0.000 0.422 x2

The uncorrected formation energy is 15 meV/atom. The calculation puts the total magnetic moment at 5.27 Bohr magnetons per cell. The calculation puts the total energy at -33.83 eV for the cell shown.

Entry 2:
First-principles (GGA-PBE) data for MnTe2As after structural relaxation, as listed in Alexandria via LeMat-Bulk.

a b c (Å): 3.7141 3.7141 26.6630
angles (deg): 90.00 90.00 120.00
Space group R-3m (No. 166, hexagonal axes)
One atom of each set of equivalent atoms:
Mn1 0.0000 0.0000 0.0000 x3
Te1 0.0000 0.0000 0.3937 x6
As1 0.0000 0.0000 0.5000 x3

The uncorrected formation energy is 168 meV/atom. The calculation puts the total magnetic moment at 9.61 Bohr magnetons per cell. The calculation puts the total energy at -58.29 eV for the cell shown.

Entry 3:
First-principles (GGA-PBE) data for MnTeAs2 after structural relaxation, as listed in Alexandria via LeMat-Bulk.

a b c (Å): 5.636 5.636 5.584
angles (deg): 90.00 90.00 90.00
Space group I4/mmm (No. 139)
One atom of each set of equivalent atoms:
Mn1 0.000 0.000 0.000 x2
Te1 0.000 0.000 0.500 x2
As1 0.000 0.500 0.000 x4

The uncorrected formation energy is 130 meV/atom. The calculation puts the total magnetic moment at 8.05 Bohr magnetons per cell. The calculation puts the total energy at -42.18 eV for the cell shown.

Entry 4:
First-principles (GGA-PBE) data for MnTeAs2 after structural relaxation, as listed in Alexandria via LeMat-Bulk.

a b c (Å): 4.925 4.925 3.424
angles (deg): 90.00 90.00 90.00
Space group P4/mmm (No. 123)
One atom of each set of equivalent atoms:
Mn1 0.000 0.000 0.000 x1
Te1 0.500 0.500 0.000 x1
As1 0.000 0.500 0.500 x2

The uncorrected formation energy is 439 meV/atom. The calculation puts the total magnetic moment at 4.28 Bohr magnetons per cell. The calculation puts the total energy at -19.85 eV for the cell shown.

Entry 5:
First-principles (GGA-PBE) data for MnTeAs2 after structural relaxation, as listed in Alexandria via LeMat-Bulk.

a b c (Å): 3.712 3.651 7.047
angles (deg): 90.00 99.97 90.00
Space group Pm (No. 6)
One atom of each set of equivalent atoms:
Mn1 0.000 0.000 0.000 x1
Te1 0.437 0.500 0.822 x1
As1 0.157 0.500 0.330 x1
As2 0.580 0.000 0.266 x1

The uncorrected formation energy is 95 meV/atom. The calculation puts the total magnetic moment at 3.01 Bohr magnetons per cell. The calculation puts the total energy at -21.23 eV for the cell shown.

Entry 6:
First-principles (GGA-PBE) data for MnTe2As2 after structural relaxation, as listed in Alexandria via LeMat-Bulk.

a b c (Å): 4.015 4.015 19.941
angles (deg): 90.00 90.00 90.00
Space group I4/mmm (No. 139)
One atom of each set of equivalent atoms:
Mn1 0.000 0.000 0.000 x2
Te1 0.000 0.500 0.250 x4
As1 0.000 0.000 0.441 x4

The uncorrected formation energy is 476 meV/atom. The calculation puts the total magnetic moment at 8.32 Bohr magnetons per cell. For the polymorph energy (0 for the lowest one), the calculation gives 1.79 eV/f.u. The calculation puts the total energy at -44.74 eV for the cell shown.